1.
A plane-wave DFT calculation with PBE was carried out for a relaxed CsSr3F crystal.

Computed properties:
Symmetry: Pm-3m, No. 221
Energy above the lowest structure with this stoichiometry, eV/f.u.: 6.777
Total energy, eV/atom: -0.99

Lattice parameters (Å, degrees): 7.0861 7.0861 7.0861 90.00 90.00 90.00
Last column: nearest neighbours and their distance in Å.
Element x y z (fractional)
Cs: 0.0000 0.0000 0.0000  6 Sr 3.54
Sr: 0.0000 0.0000 0.5000  2 Cs 3.54
Sr: 0.0000 0.5000 0.0000  2 Cs 3.54
Sr: 0.5000 0.0000 0.0000  2 Cs 3.54
F: 0.5000 0.5000 0.5000  12 Sr 5.01

=====

2.
A plane-wave DFT calculation with PBE was carried out for a relaxed Cs2SrF crystal.

Computed properties:
Symmetry: I-42d, No. 122
Energy above the lowest structure with this stoichiometry, eV/f.u.: 0.000
Total energy, eV/atom: -2.44

Lattice parameters (Å, degrees): 9.0122 9.0122 9.0122 119.34 119.34 91.14
Last column: nearest neighbours and their distance in Å.
Element x y z (fractional)
Cs: 0.3750 0.0815 0.2065  2 F 2.80
Cs: 0.8315 0.6250 0.7065  2 F 2.80
Cs: 0.8750 0.1685 0.7935  2 F 2.80
Cs: 0.9185 0.1250 0.2935  2 F 2.80
Sr: 0.2500 0.7500 0.5000  8 Cs 4.99-5.27, 4 F 5.54, 4 Sr 5.54
Sr: 0.5000 0.5000 0.0000  8 Cs 4.99-5.27, 4 F 5.54, 4 Sr 5.54
F: 0.0000 0.0000 0.0000  4 Cs 2.80
F: 0.7500 0.2500 0.5000  4 Cs 2.80